# LaCr3Ru

An optimized crystal structure of LaCr3Ru (PBE, Alexandria via LeMat-Bulk).

Cell: 4.409 4.409 4.409 Å, 90.00 90.00 90.00°
Last column: magnetic moment on the atom in μB.
Atoms (fractional coordinates):
Cr: 0.000 0.000 0.500  -0.54
La: 0.000 0.000 0.000  -0.01
Ru: 0.500 0.500 0.500  1.19
Cr: 0.000 0.500 0.000  -0.55
Cr: 0.500 0.000 0.000  -0.45

Output
symmetry	No. 221
total moment	0.350	Bohr magnetons per cell
E_form	2.158	eV per atom